[1]
DFT (PBE-GGA) results for Y4ErSc after structural relaxation.

## Properties
Symmetry: C2/c, No. 15
Energy relative to the lowest polymorph listed for this composition (eV per atom): 0.000
ΔH_f (0 K) (meV per atom): 43
Total moment (μB per cell): 0.00

Cell and atoms, written as POSCAR:
```
Y4ErSc
1.0
3.505 -9.623 0.000
3.505 9.623 0.000
-3.492 0.000 5.472
Y Er Sc
8 2 2
direct
0.121 0.371 0.239
0.197 0.303 0.747
0.303 0.197 0.247
0.371 0.121 0.739
0.629 0.879 0.261
0.697 0.803 0.753
0.803 0.697 0.253
0.879 0.629 0.761
0.281 0.719 0.750
0.719 0.281 0.250
0.222 0.778 0.250
0.778 0.222 0.750
```

---

[2]
DFT (PBE-GGA) results for RePdN3 after structural relaxation.

## Properties
Symmetry: Pm-3m, No. 221
Formation energy (no corrections) (meV/atom): 2410
Total moment (μB per cell): 1.42

Cell and atoms, written as POSCAR:
```
RePdN3
1.0
3.862 0.000 0.000
0.000 3.862 0.000
0.000 0.000 3.862
Re Pd N
1 1 3
direct
0.000 0.000 0.000
0.500 0.500 0.500
0.000 0.500 0.500
0.500 0.000 0.500
0.500 0.500 0.000
```

---

[3]
DFT (PBE-GGA) results for CsIn2Bi3 after structural relaxation.

## Properties
Symmetry: Immm, No. 71
Energy relative to the lowest polymorph listed for this composition (eV per atom): 0.080
ΔH_f (0 K) (meV per atom): -58
Total moment (μB per cell): 0.00

Cell and atoms, written as POSCAR:
```
CsIn2Bi3
1.0
-2.314 5.828 8.334
2.314 -5.828 8.334
2.314 5.828 -8.334
Cs In Bi
2 4 6
direct
0.132 0.132 0.000
0.868 0.868 0.000
0.190 0.500 0.690
0.335 0.835 0.500
0.665 0.165 0.500
0.810 0.500 0.310
0.099 0.312 0.787
0.353 0.000 0.353
0.476 0.688 0.787
0.524 0.312 0.213
0.647 0.000 0.647
0.901 0.688 0.213
```

---

[4]
DFT (PBE-GGA) results for NiTe4Ir after structural relaxation.

## Properties
Symmetry: F-43m, No. 216
Formation energy (no corrections) (meV/atom): 1452
Energy relative to the lowest polymorph listed for this composition (eV per atom): 1.701
Total moment (μB per cell): 1.32

Cell and atoms, written as POSCAR:
```
NiTe4Ir
1.0
0.000 4.273 4.273
4.273 0.000 4.273
4.273 4.273 0.000
Ni Te Ir
1 4 1
direct
0.000 0.000 0.000
0.126 0.625 0.625
0.625 0.126 0.625
0.625 0.625 0.126
0.625 0.625 0.625
0.250 0.250 0.250
```

---

[5]
DFT (PBE-GGA) results for AcIn3Pt3 after structural relaxation.

## Properties
Symmetry: R-3, No. 148
Energy relative to the lowest polymorph listed for this composition (eV per atom): 0.065
ΔH_f (0 K) (meV per atom): -600
Total moment (μB per cell): 0.00

Cell and atoms, written as POSCAR:
```
AcIn3Pt3
1.0
3.674 2.121 7.785
-3.674 2.121 7.785
0.000 -4.243 7.785
Ac In Pt
2 6 6
direct
0.149 0.149 0.149
0.851 0.851 0.851
0.161 0.664 0.323
0.323 0.161 0.664
0.336 0.677 0.839
0.664 0.323 0.161
0.677 0.839 0.336
0.839 0.336 0.677
0.048 0.504 0.233
0.233 0.048 0.504
0.496 0.767 0.952
0.504 0.233 0.048
0.767 0.952 0.496
0.952 0.496 0.767
```

---

[6]
DFT (PBE-GGA) results for PuThTe2N after structural relaxation.

## Properties
Symmetry: P4/nmm, No. 129
Formation energy (no corrections) (meV/atom): -1333
Total moment (μB per cell): 10.08

Cell and atoms, written as POSCAR:
```
PuThTe2N
1.0
4.269 0.000 0.000
0.000 4.269 0.000
0.000 0.000 15.552
Pu Th Te N
2 2 4 2
direct
0.250 0.250 0.116
0.750 0.750 0.884
0.250 0.250 0.570
0.750 0.750 0.430
0.250 0.250 0.307
0.250 0.250 0.909
0.750 0.750 0.091
0.750 0.750 0.693
0.250 0.750 0.500
0.750 0.250 0.500
```

---

[7]
DFT (PBE-GGA) results for Li2OsBr after structural relaxation.

## Properties
Symmetry: Pmmm, No. 47
Formation energy (no corrections) (meV/atom): 456
Energy relative to the lowest polymorph listed for this composition (eV per atom): 0.436
Total moment (μB per cell): 0.00

Cell and atoms, written as POSCAR:
```
Li2OsBr
1.0
3.130 0.000 0.000
0.000 4.174 0.000
0.000 0.000 4.600
Li Os Br
2 1 1
direct
0.000 0.000 0.000
0.500 0.000 0.500
0.000 0.500 0.500
0.500 0.500 0.000
```

---

[8]
DFT (PBE-GGA) results for IrSe3 after structural relaxation.

## Properties
Symmetry: P1, No. 1
Formation energy (no corrections) (meV/atom): -178
Energy relative to the lowest polymorph listed for this composition (eV per atom): 0.000
Total moment (μB per cell): 0.00

Cell and atoms, written as POSCAR:
```
IrSe3
1.0
5.997 0.000 0.000
-0.003 6.074 0.000
-0.069 -0.616 17.922
Ir Se
7 21
direct
0.000 0.000 0.000
0.002 0.485 0.833
0.007 0.971 0.666
0.497 0.948 0.497
0.501 0.986 0.834
0.505 0.991 0.170
0.986 0.951 0.335
0.116 0.607 0.965
0.118 0.080 0.538
0.123 0.112 0.874
0.126 0.085 0.214
0.135 0.591 0.629
0.338 0.817 0.378
0.383 0.110 0.045
0.384 0.596 0.792
0.387 0.099 0.706
0.582 0.318 0.460
0.593 0.350 0.228
0.617 0.876 0.962
0.620 0.868 0.622
0.622 0.375 0.876
0.636 0.809 0.279
0.807 0.306 0.350
0.875 0.825 0.460
0.880 0.876 0.124
0.881 0.859 0.793
0.887 0.380 0.041
0.890 0.364 0.700
```

---

no.,VASP energy (hartree per atom)
1,-0.2235
2,-0.2247
3,-0.1122
4,-0.1133
5,-0.1819
6,-0.3162
7,-0.1369
8,-0.1840